Material: Sm4Pd2Ru
Method: DFT, PBE-GGA
State: optimized geometry

Unit cell a=6.170 b=6.170 c=4.908 alpha=90.00 beta=90.00 gamma=110.24
Fractional coordinates of all 7 atoms:
Sm 0.000 0.500 0.500
Sm 0.246 0.246 0.000
Sm 0.500 0.000 0.500
Sm 0.754 0.754 0.000
Pd 0.249 0.751 0.000
Pd 0.751 0.249 0.000
Ru 0.000 0.000 0.500

Calculated values
spin magnetization	0.00	μB per atom
energy relative to the elements	-510	meV per atom
total DFT energy (no corrections)	-6.015	eV per atom
SG	Cmmm (65)



Material: Sm7Pd2Ru2
Method: DFT, PBE-GGA
State: optimized geometry

Unit cell a=6.767 b=6.767 c=6.957 alpha=90.00 beta=90.00 gamma=107.93
Fractional coordinates of all 11 atoms:
Sm 0.000 0.000 0.000
Sm 0.000 0.500 0.264
Sm 0.000 0.500 0.736
Sm 0.500 0.000 0.264
Sm 0.500 0.000 0.736
Sm 0.500 0.500 0.254
Sm 0.500 0.500 0.746
Pd 0.184 0.184 0.500
Pd 0.816 0.816 0.500
Ru 0.292 0.708 0.000
Ru 0.708 0.292 0.000

Calculated values
spin magnetization	0.00	μB per atom
energy relative to the elements	-289	meV per atom
total DFT energy (no corrections)	-5.923	eV per atom
SG	Cmmm (65)



Material: Sm5PdRu2
Method: DFT, PBE-GGA
State: optimized geometry

Unit cell a=8.678 b=8.678 c=8.678 alpha=126.96 beta=126.96 gamma=78.32
Fractional coordinates of all 16 atoms:
Sm 0.000 0.000 0.000
Sm 0.024 0.524 0.824
Sm 0.200 0.024 0.500
Sm 0.300 0.800 0.824
Sm 0.476 0.300 0.500
Sm 0.500 0.500 0.000
Sm 0.524 0.700 0.500
Sm 0.700 0.200 0.176
Sm 0.800 0.976 0.500
Sm 0.976 0.476 0.176
Pd 0.250 0.250 0.000
Pd 0.750 0.750 0.000
Ru 0.140 0.360 0.500
Ru 0.360 0.860 0.220
Ru 0.640 0.140 0.780
Ru 0.860 0.640 0.500

Calculated values
spin magnetization	0.00	μB per atom
energy relative to the elements	-398	meV per atom
total DFT energy (no corrections)	-6.315	eV per atom
SG	I4/mcm (140)



Material: TbSmPdRu
Method: DFT, PBE-GGA
State: optimized geometry

Unit cell a=4.941 b=4.941 c=4.941 alpha=60.00 beta=60.00 gamma=60.00
Fractional coordinates of all 4 atoms:
Tb 0.000 0.000 0.000
Sm 0.500 0.500 0.500
Pd 0.250 0.250 0.250
Ru 0.750 0.750 0.750

Calculated values
spin magnetization	0.00	μB per atom
polymorph energy (0 for the lowest one)	0.15	eV/f.u.
energy relative to the elements	-559	meV per atom
total DFT energy (no corrections)	-6.513	eV per atom
SG	F-43m (216)



Material: TbSmPdRu
Method: DFT, PBE-GGA
State: optimized geometry

Unit cell a=3.463 b=3.463 c=7.139 alpha=90.00 beta=90.00 gamma=90.00
Fractional coordinates of all 4 atoms:
Tb 0.000 0.000 0.000
Sm 0.000 0.000 0.521
Pd 0.500 0.500 0.250
Ru 0.500 0.500 0.766

Calculated values
spin magnetization	0.00	μB per atom
polymorph energy (0 for the lowest one)	0.00	eV/f.u.
energy relative to the elements	-595	meV per atom
total DFT energy (no corrections)	-6.549	eV per atom
SG	P4mm (99)



Material: SmThPdRu
Method: DFT, PBE-GGA
State: optimized geometry

Unit cell a=4.092 b=6.088 c=6.088 alpha=37.71 beta=90.00 gamma=90.00
Fractional coordinates of all 4 atoms:
Sm 0.000 0.000 0.000
Th 0.500 0.279 0.279
Pd 0.500 0.559 0.559
Ru 0.000 0.741 0.741

Calculated values
spin magnetization	0.00	μB per atom
polymorph energy (0 for the lowest one)	0.00	eV/f.u.
energy relative to the elements	-644	meV per atom
total DFT energy (no corrections)	-7.296	eV per atom
SG	Amm2 (38)